1.
VASP calculation (PBE) on a geometry-optimized CaSc2Se structure.

Unit cell a=5.958 b=5.958 c=5.958 alpha=137.43 beta=137.43 gamma=61.78
Element x y z (fractional)
Ca 0.000 0.000 0.000
Sc 0.250 0.750 0.500
Sc 0.500 0.500 0.000
Se 0.750 0.250 0.500

Calculated values
The magnetization is 1.4 μB per formula unit. The calculated total energy comes out at -19.36 eV per cell. Its formation energy from raw total energies is -303 meV/atom.



2.
VASP calculation (PBE) on a geometry-optimized Mg2ZnOs structure.

Unit cell a=4.865 b=4.865 c=5.068 alpha=96.61 beta=96.61 gamma=32.98
Element x y z (fractional)
Mg 0.245 0.245 0.242
Mg 0.755 0.755 0.758
Zn 0.000 0.000 0.500
Os 0.500 0.500 0.000

Calculated values
The magnetization is 0.0 μB per formula unit. The calculated total energy comes out at -14.91 eV per cell. The energy relative to the elements is 196 meV per atom.



3.
VASP calculation (PBE) on a geometry-optimized Sr4PbI5 structure.

Unit cell a=10.767 b=10.767 c=10.112 alpha=104.58 beta=104.58 gamma=24.40
Element x y z (fractional)
Sr 0.004 0.004 0.250
Sr 0.336 0.336 0.899
Sr 0.664 0.664 0.101
Sr 0.996 0.996 0.750
Pb 0.500 0.500 0.000
I 0.169 0.169 0.337
I 0.170 0.170 0.856
I 0.500 0.500 0.500
I 0.830 0.830 0.144
I 0.831 0.831 0.663

Calculated values
The magnetization is 0.1 μB per formula unit. The calculated total energy comes out at -31.95 eV per cell. Its formation energy from raw total energies is -1377 meV/atom.



4.
VASP calculation (PBE) on a geometry-optimized Ca4ScSe5 structure.

Unit cell a=14.945 b=14.945 c=14.945 alpha=164.09 beta=164.09 gamma=22.58
Element x y z (fractional)
Ca 0.098 0.098 0.000
Ca 0.301 0.301 0.000
Ca 0.699 0.699 0.000
Ca 0.902 0.902 0.000
Sc 0.500 0.500 0.000
Se 0.000 0.000 0.000
Se 0.199 0.199 0.000
Se 0.405 0.405 0.000
Se 0.595 0.595 0.000
Se 0.801 0.801 0.000

Calculated values
The magnetization is 0.0 μB per formula unit. The calculated total energy comes out at -50.82 eV per cell. Its formation energy from raw total energies is -1906 meV/atom.



5.
VASP calculation (PBE) on a geometry-optimized TiNbN structure.

Unit cell a=3.059 b=3.059 c=4.878 alpha=90.00 beta=90.00 gamma=120.00
Element x y z (fractional)
Ti 0.000 0.000 0.000
Nb 0.667 0.333 0.500
N 0.333 0.667 0.769

Calculated values
The magnetization is 0.0 μB per formula unit. The calculated total energy comes out at -29.53 eV per cell. Its formation energy from raw total energies is -1079 meV/atom.



6.
VASP calculation (PBE) on a geometry-optimized Sr3Cd2Ag2Hg4 structure.

Unit cell a=5.008 b=5.008 c=14.717 alpha=90.00 beta=90.00 gamma=120.00
Element x y z (fractional)
Sr 0.000 0.000 0.000
Sr 0.000 0.000 0.269
Sr 0.000 0.000 0.731
Cd 0.333 0.667 0.578
Cd 0.667 0.333 0.422
Ag 0.333 0.667 0.139
Ag 0.667 0.333 0.861
Hg 0.333 0.667 0.379
Hg 0.333 0.667 0.866
Hg 0.667 0.333 0.134
Hg 0.667 0.333 0.621

Calculated values
The magnetization is 0.0 μB per formula unit. The calculated total energy comes out at -17.34 eV per cell. The energy relative to the elements is -323 meV per atom.



7.
VASP calculation (PBE) on a geometry-optimized CsVRu2 structure.

Unit cell a=4.700 b=4.700 c=4.700 alpha=60.00 beta=60.00 gamma=60.00
Element x y z (fractional)
Cs 0.000 0.000 0.000
V 0.500 0.500 0.500
Ru 0.250 0.250 0.250
Ru 0.750 0.750 0.750

Calculated values
The magnetization is 0.2 μB per formula unit. The energy relative to the lowest polymorph listed for this composition is 0.201 eV/atom. The calculated total energy comes out at -22.44 eV per cell. The energy relative to the elements is 1521 meV per atom.



8.
VASP calculation (PBE) on a geometry-optimized Zn7PdAu2 structure.

Unit cell a=6.670 b=6.670 c=6.670 alpha=60.00 beta=60.00 gamma=60.00
Element x y z (fractional)
Zn 0.000 0.000 0.000
Zn 0.248 0.248 0.752
Zn 0.248 0.752 0.248
Zn 0.248 0.752 0.752
Zn 0.752 0.248 0.248
Zn 0.752 0.248 0.752
Zn 0.752 0.752 0.248
Pd 0.500 0.500 0.500
Au 0.250 0.250 0.250
Au 0.750 0.750 0.750

Calculated values
The magnetization is 0.0 μB per formula unit. The energy relative to the lowest polymorph listed for this composition is 0.458 eV/atom. The calculated total energy comes out at -17.61 eV per cell. The energy relative to the elements is 305 meV per atom.



9.
VASP calculation (PBE) on a geometry-optimized Pm5SnRh4 structure.

Unit cell a=3.458 b=3.458 c=19.284 alpha=90.00 beta=90.00 gamma=90.00
Element x y z (fractional)
Pm 0.000 0.000 0.000
Pm 0.000 0.000 0.189
Pm 0.000 0.000 0.376
Pm 0.000 0.000 0.624
Pm 0.000 0.000 0.811
Sn 0.500 0.500 0.500
Rh 0.500 0.500 0.094
Rh 0.500 0.500 0.282
Rh 0.500 0.500 0.718
Rh 0.500 0.500 0.906

Calculated values
The magnetization is 0.0 μB per formula unit. The calculated total energy comes out at -63.95 eV per cell. The energy relative to the elements is -678 meV per atom.



10.
VASP calculation (PBE) on a geometry-optimized ZrPt structure.

Unit cell a=6.401 b=6.401 c=6.401 alpha=96.87 beta=96.87 gamma=139.52
Element x y z (fractional)
Zr 0.000 0.297 0.297
Zr 0.000 0.703 0.703
Zr 0.297 0.000 0.297
Zr 0.703 0.000 0.703
Pt 0.330 0.330 0.661
Pt 0.330 0.670 0.000
Pt 0.670 0.330 0.000
Pt 0.670 0.670 0.339

Calculated values
The magnetization is 0.0 μB per formula unit. The calculated total energy comes out at -65.04 eV per cell. The energy relative to the elements is -835 meV per atom.



11.
VASP calculation (PBE) on a geometry-optimized BaBe2ZnF8 structure.

Unit cell a=4.923 b=4.923 c=7.755 alpha=94.00 beta=94.00 gamma=66.04
Element x y z (fractional)
Ba 0.000 0.000 0.000
Be 0.370 0.370 0.714
Be 0.630 0.630 0.286
Zn 0.000 0.000 0.500
F 0.235 0.235 0.567
F 0.237 0.719 0.702
F 0.281 0.763 0.298
F 0.311 0.311 0.903
F 0.689 0.689 0.097
F 0.719 0.237 0.702
F 0.763 0.281 0.298
F 0.765 0.765 0.433

Calculated values
The magnetization is 0.0 μB per formula unit. The calculated total energy comes out at -64.00 eV per cell. Its formation energy from raw total energies is -3198 meV/atom.



12.
VASP calculation (PBE) on a geometry-optimized AcNdYTe3 structure.

Unit cell a=8.774 b=4.579 c=10.835 alpha=90.00 beta=109.65 gamma=90.00
Element x y z (fractional)
Ac 0.182 0.250 0.229
Ac 0.818 0.750 0.771
Nd 0.359 0.750 0.887
Nd 0.641 0.250 0.113
Y 0.145 0.250 0.622
Y 0.855 0.750 0.378
Te 0.109 0.250 0.898
Te 0.233 0.750 0.474
Te 0.462 0.750 0.209
Te 0.538 0.250 0.791
Te 0.767 0.250 0.526
Te 0.891 0.750 0.102

Calculated values
The magnetization is 0.0 μB per formula unit. The calculated total energy comes out at -65.19 eV per cell. Its formation energy from raw total energies is -1305 meV/atom.



13.
VASP calculation (PBE) on a geometry-optimized U2Fe3B structure.

Unit cell a=4.553 b=4.553 c=4.553 alpha=67.36 beta=67.36 gamma=67.36
Element x y z (fractional)
U 0.129 0.129 0.129
U 0.871 0.871 0.871
Fe 0.000 0.500 0.500
Fe 0.500 0.000 0.500
Fe 0.500 0.500 0.000
B 0.500 0.500 0.500

Calculated values
The magnetization is 0.0 μB per formula unit. The calculated total energy comes out at -55.77 eV per cell. The energy relative to the elements is -189 meV per atom.



14.
VASP calculation (PBE) on a geometry-optimized LiVCu4 structure.

Unit cell a=4.866 b=4.866 c=4.866 alpha=60.00 beta=60.00 gamma=60.00
Element x y z (fractional)
Li 0.000 0.000 0.000
V 0.250 0.250 0.250
Cu 0.125 0.625 0.625
Cu 0.625 0.125 0.625
Cu 0.625 0.625 0.125
Cu 0.625 0.625 0.625

Calculated values
The magnetization is 3.7 μB per formula unit. The calculated total energy comes out at -26.46 eV per cell. The energy relative to the elements is 159 meV per atom.



15.
VASP calculation (PBE) on a geometry-optimized Nb2V5 structure.

Unit cell a=7.384 b=7.384 c=6.003 alpha=91.76 beta=91.76 gamma=40.41
Element x y z (fractional)
Nb 0.050 0.794 0.602
Nb 0.206 0.950 0.898
Nb 0.794 0.050 0.102
Nb 0.950 0.206 0.398
V 0.095 0.349 0.684
V 0.229 0.478 0.968
V 0.349 0.095 0.184
V 0.384 0.616 0.250
V 0.478 0.229 0.468
V 0.522 0.771 0.532
V 0.616 0.384 0.750
V 0.651 0.905 0.816
V 0.771 0.522 0.032
V 0.905 0.651 0.316

Calculated values
The magnetization is 0.0 μB per formula unit. The calculated total energy comes out at -129.23 eV per cell. The energy relative to the elements is 159 meV per atom.



16.
VASP calculation (PBE) on a geometry-optimized Ba12Na3O5 structure.

Unit cell a=16.072 b=16.072 c=16.072 alpha=109.47 beta=109.47 gamma=109.47
Element x y z (fractional)
Ba 0.002 0.689 0.107
Ba 0.002 0.813 0.894
Ba 0.081 0.687 0.689
Ba 0.081 0.894 0.393
Ba 0.106 0.607 0.919
Ba 0.106 0.998 0.187
Ba 0.107 0.002 0.689
Ba 0.107 0.606 0.419
Ba 0.187 0.106 0.998
Ba 0.187 0.581 0.189
Ba 0.189 0.187 0.581
Ba 0.189 0.502 0.607
Ba 0.311 0.893 0.998
Ba 0.311 0.919 0.313
Ba 0.313 0.311 0.919
Ba 0.313 0.502 0.394
Ba 0.393 0.081 0.894
Ba 0.393 0.811 0.498
Ba 0.394 0.313 0.502
Ba 0.394 0.581 0.893
Ba 0.419 0.107 0.606
Ba 0.419 0.811 0.813
Ba 0.498 0.393 0.811
Ba 0.498 0.606 0.687
Ba 0.502 0.394 0.313
Ba 0.502 0.607 0.189
Ba 0.581 0.189 0.187
Ba 0.581 0.893 0.394
Ba 0.606 0.419 0.107
Ba 0.606 0.687 0.498
Ba 0.607 0.189 0.502
Ba 0.607 0.919 0.106
Ba 0.687 0.498 0.606
Ba 0.687 0.689 0.081
Ba 0.689 0.081 0.687
Ba 0.689 0.107 0.002
Ba 0.811 0.498 0.393
Ba 0.811 0.813 0.419
Ba 0.813 0.419 0.811
Ba 0.813 0.894 0.002
Ba 0.893 0.394 0.581
Ba 0.893 0.998 0.311
Ba 0.894 0.002 0.813
Ba 0.894 0.393 0.081
Ba 0.919 0.106 0.607
Ba 0.919 0.313 0.311
Ba 0.998 0.187 0.106
Ba 0.998 0.311 0.893
Na 0.125 0.250 0.375
Na 0.125 0.375 0.750
Na 0.250 0.375 0.125
Na 0.250 0.875 0.625
Na 0.375 0.125 0.250
Na 0.375 0.750 0.125
Na 0.625 0.250 0.875
Na 0.625 0.875 0.750
Na 0.750 0.125 0.375
Na 0.750 0.625 0.875
Na 0.875 0.625 0.250
Na 0.875 0.750 0.625
O 0.000 0.000 0.000
O 0.000 0.000 0.500
O 0.000 0.500 0.000
O 0.000 0.500 0.500
O 0.125 0.750 0.875
O 0.125 0.875 0.250
O 0.250 0.125 0.875
O 0.250 0.625 0.375
O 0.375 0.250 0.625
O 0.375 0.625 0.750
O 0.500 0.000 0.000
O 0.500 0.000 0.500
O 0.500 0.500 0.000
O 0.500 0.500 0.500
O 0.625 0.375 0.250
O 0.625 0.750 0.375
O 0.750 0.375 0.625
O 0.750 0.875 0.125
O 0.875 0.125 0.750
O 0.875 0.250 0.125

Calculated values
The magnetization is 0.0 μB per formula unit. The calculated total energy comes out at -296.42 eV per cell. Its formation energy from raw total energies is -1114 meV/atom.



17.
VASP calculation (PBE) on a geometry-optimized Pr6SN2Cl3 structure.

Unit cell a=6.711 b=6.711 c=7.375 alpha=98.73 beta=98.73 gamma=119.95
Element x y z (fractional)
Pr 0.078 0.435 0.805
Pr 0.208 0.208 0.194
Pr 0.435 0.078 0.805
Pr 0.565 0.922 0.195
Pr 0.792 0.792 0.806
Pr 0.922 0.565 0.195
S 0.500 0.500 0.000
N 0.167 0.833 0.000
N 0.833 0.167 0.000
Cl 0.000 0.000 0.500
Cl 0.338 0.662 0.500
Cl 0.662 0.338 0.500

Calculated values
The magnetization is 0.0 μB per formula unit. The calculated total energy comes out at -73.68 eV per cell. Its formation energy from raw total energies is -1557 meV/atom.



18.
VASP calculation (PBE) on a geometry-optimized PrSm2RuN4 structure.

Unit cell a=6.213 b=6.213 c=11.920 alpha=90.00 beta=90.00 gamma=147.28
Element x y z (fractional)
Pr 0.119 0.881 0.750
Pr 0.881 0.119 0.250
Sm 0.368 0.632 0.543
Sm 0.368 0.632 0.957
Sm 0.632 0.368 0.043
Sm 0.632 0.368 0.457
Ru 0.147 0.853 0.250
Ru 0.853 0.147 0.750
N 0.000 0.000 0.000
N 0.000 0.000 0.500
N 0.270 0.730 0.132
N 0.270 0.730 0.368
N 0.435 0.565 0.750
N 0.565 0.435 0.250
N 0.730 0.270 0.632
N 0.730 0.270 0.868

Calculated values
The magnetization is 0.0 μB per formula unit. The calculated total energy comes out at -127.99 eV per cell. Its formation energy from raw total energies is -900 meV/atom.